# 1
TlZnN2F | PBE | relaxed

The energy above the most stable polymorph in this dataset comes out at 0.593 eV per atom. Its volume is 84.3 Å³/cell. The formation energy without anion corrections is 115.1 kJ per mole of atoms. Its density of states at the Fermi level is 2.41 states/eV/cell. Its uncorrected energy is -3.240 eV/atom.

The space group is P4/mmm (No. 123) and the conventional cell measures 4.335, 4.335 and 4.488 Å, with angles of 90.00, 90.00 and 90.00 degrees. Symmetry generates all atoms from Tl at (0.000, 0.000, 0.000), Zn at (0.500, 0.500, 0.500), N at (0.000, 0.500, 0.000) and F at (0.000, 0.000, 0.500).



# 2
TlZnN2F | PBE | relaxed

The energy above the most stable polymorph in this dataset comes out at 0.000 eV per atom. Its volume is 74.5 Å³/cell. The formation energy without anion corrections is 57.8 kJ per mole of atoms. Its density of states at the Fermi level is 1.79 states/eV/cell. Its uncorrected energy is -3.833 eV/atom.

The space group is P4/mmm (No. 123) and the conventional cell measures 4.061, 4.061 and 4.518 Å, with angles of 90.00, 90.00 and 90.00 degrees. Symmetry generates all atoms from Tl at (0.000, 0.000, 0.000), Zn at (0.500, 0.500, 0.500), N at (0.000, 0.500, 0.500) and F at (0.500, 0.500, 0.000).



# 3
TmNF | PBE | relaxed

Its volume is 107.6 Å³/cell. The formation energy without anion corrections is -196.8 kJ per mole of atoms. Its density of states at the Fermi level is 3.01 states/eV/cell. Its uncorrected energy is -6.929 eV/atom.

The space group is P-62m (No. 189) and the conventional cell measures 5.9737, 5.9737 and 3.4821 Å, with angles of 90.00, 90.00 and 120.00 degrees. Symmetry generates all atoms from Tm at (0.0000, 0.0000, 0.0000), Tm at (0.3333, 0.6667, 0.5000), N at (0.0000, 0.5788, 0.0000) and F at (0.0000, 0.2393, 0.5000).



# 4
Tm6N5F | PBE | relaxed

Its volume is 335.7 Å³/cell. The formation energy without anion corrections is -190.0 kJ per mole of atoms. Its density of states at the Fermi level is 4.39 states/eV/cell. Its uncorrected energy is -7.829 eV/atom.

The space group is C2/m (No. 12) and the conventional cell measures 5.912, 10.224 and 5.898 Å, with angles of 90.00, 109.65 and 90.00 degrees. Symmetry generates all atoms from Tm at (0.236, 0.000, 0.264), Tm at (0.238, 0.176, 0.743), N at (0.000, 0.000, 0.500), N at (0.000, 0.167, 0.000), N at (0.000, 0.334, 0.500) and F at (0.000, 0.500, 0.000).



# 5
TmN2F4 | PBE | relaxed

Its volume is 112.3 Å³/cell. The formation energy without anion corrections is -209.9 kJ per mole of atoms. Its density of states at the Fermi level is 3.55 states/eV/cell. Its uncorrected energy is -6.262 eV/atom.

The space group is P-1 (No. 2) and the conventional cell measures 3.883, 3.913 and 8.576 Å, with angles of 84.37, 80.64 and 60.85 degrees. Symmetry generates all atoms from Tm at (0.000, 0.000, 0.000), N at (0.458, 0.531, 0.564), F at (0.064, 0.081, 0.748) and F at (0.316, 0.328, 0.055).